1.
DyEr3Au2 | PBE | optimized geometry

Structure (CIF):
```
data_DyEr3Au2
_chemical_formula_sum 'Dy2 Er6 Au4'
_space_group_name_H-M_alt 'P m c 21'
_space_group_IT_number 26
_space_group_name_Hall 'P 2c -2'
_cell_length_a 4.929
_cell_length_b 8.882
_cell_length_c 7.073
_cell_angle_alpha 90.00
_cell_angle_beta 90.00
_cell_angle_gamma 90.00
loop_
_atom_site_label
_atom_site_fract_x
_atom_site_fract_y
_atom_site_fract_z
Dy1 0.000 0.073 0.000
Er1 0.000 0.331 0.636
Er2 0.500 0.170 0.338
Er3 0.500 0.427 0.973
Au1 0.000 0.350 0.230
Au2 0.500 0.152 0.744
```

Calculated values
**E_form**: -3.915 eV per formula unit
**Fermi-level density of states**: 0.973 states/eV/atom

***

2.
Dy2ErAu4 | PBE | optimized geometry

Structure (CIF):
```
data_Dy2ErAu4
_chemical_formula_sum 'Dy6 Er3 Au12'
_space_group_name_H-M_alt 'R -3 m'
_space_group_IT_number 166
_space_group_name_Hall '-R 3 2"'
_cell_length_a 4.9672
_cell_length_b 4.9672
_cell_length_c 24.5442
_cell_angle_alpha 90.00
_cell_angle_beta 90.00
_cell_angle_gamma 120.00
loop_
_atom_site_label
_atom_site_fract_x
_atom_site_fract_y
_atom_site_fract_z
Dy1 0.0000 0.0000 0.2407
Er1 0.0000 0.0000 0.0000
Au1 0.0000 0.0000 0.1196
Au2 0.0000 0.0000 0.3651
```

Calculated values
**E_form**: -5.074 eV per formula unit
**Fermi-level density of states**: 0.607 states/eV/atom

***

3.
DyEr3Au4 | PBE | optimized geometry

Structure (CIF):
```
data_DyEr3Au4
_chemical_formula_sum 'Dy3 Er9 Au12'
_space_group_name_H-M_alt 'R -3 m'
_space_group_IT_number 166
_space_group_name_Hall '-R 3 2"'
_cell_length_a 5.0517
_cell_length_b 5.0517
_cell_length_c 24.8771
_cell_angle_alpha 90.00
_cell_angle_beta 90.00
_cell_angle_gamma 120.00
loop_
_atom_site_label
_atom_site_fract_x
_atom_site_fract_y
_atom_site_fract_z
Dy1 0.0000 0.0000 0.0000
Er1 0.0000 0.0000 0.2498
Er2 0.0000 0.0000 0.5000
Au1 0.0000 0.0000 0.1257
Au2 0.0000 0.0000 0.3758
```

Calculated values
**E_form**: -7.009 eV per formula unit
**Fermi-level density of states**: 0.343 states/eV/atom

***

4.
DyErAu | PBE | optimized geometry

Structure (CIF):
```
data_DyErAu
_chemical_formula_sum 'Dy4 Er4 Au4'
_space_group_name_H-M_alt 'P 1 21/c 1'
_space_group_IT_number 14
_space_group_name_Hall '-P 2ybc'
_cell_length_a 6.942
_cell_length_b 7.068
_cell_length_c 6.788
_cell_angle_alpha 90.00
_cell_angle_beta 90.50
_cell_angle_gamma 90.00
loop_
_atom_site_label
_atom_site_fract_x
_atom_site_fract_y
_atom_site_fract_z
Dy1 0.117 0.081 0.251
Er1 0.448 0.749 0.500
Au1 0.279 0.035 0.747
```

Calculated values
**E_form**: -1.673 eV per formula unit
**Fermi-level density of states**: 1.367 states/eV/atom

***

5.
DyEr2Au | PBE | optimized geometry

Structure (CIF):
```
data_DyEr2Au
_chemical_formula_sum 'Dy1 Er2 Au1'
_space_group_name_H-M_alt 'P 4/m m m'
_space_group_IT_number 123
_space_group_name_Hall '-P 4 2'
_cell_length_a 4.684
_cell_length_b 4.684
_cell_length_c 4.693
_cell_angle_alpha 90.00
_cell_angle_beta 90.00
_cell_angle_gamma 90.00
loop_
_atom_site_label
_atom_site_fract_x
_atom_site_fract_y
_atom_site_fract_z
Dy1 0.000 0.000 0.000
Er1 0.000 0.500 0.500
Au1 0.500 0.500 0.000
```

Calculated values
**E_form**: -1.019 eV per formula unit
**Fermi-level density of states**: 1.213 states/eV/atom

***

6.
DyErAu2 | PBE | optimized geometry

Structure (CIF):
```
data_DyErAu2
_chemical_formula_sum 'Dy1 Er1 Au2'
_space_group_name_H-M_alt 'P 1 m 1'
_space_group_IT_number 6
_space_group_name_Hall 'P -2y'
_cell_length_a 3.690
_cell_length_b 4.687
_cell_length_c 5.782
_cell_angle_alpha 90.00
_cell_angle_beta 108.48
_cell_angle_gamma 90.00
loop_
_atom_site_label
_atom_site_fract_x
_atom_site_fract_y
_atom_site_fract_z
Dy1 0.000 0.000 0.000
Er1 0.723 0.500 0.444
Au1 0.272 0.000 0.544
Au2 0.450 0.500 0.899
```

Calculated values
**E_form**: -3.561 eV per formula unit
**Fermi-level density of states**: 0.596 states/eV/atom

***

Q: Look up the E_form of the second one.
A: -5.074 eV per formula unit

***

Q: Among the records above, which one has the lowest Fermi-level density of states?
A: DyEr3Au4